The following is a DFT calculation (PBE+U) of a relaxed NiPNF2 crystal.

Space-group type: P4/mmm, No. 123
Offset from the most stable computed form in meV per atom: 288
D(E_F) in states/eV/cell: 2.21

a = 3.7179 Å, b = 3.7179 Å, c = 4.2993 Å
α = 90.00°, β = 90.00°, γ = 90.00°
Fractional positions:
P (0.5000, 0.5000, 0.5000)
F (0.5000, 0.0000, 0.0000)
F (0.0000, 0.5000, 0.0000)
Ni (0.0000, 0.0000, 0.0000)
N (0.0000, 0.0000, 0.5000)